[1]
The following is a PBE-GGA calculation of a relaxed Ce2HfZn6 crystal, from Alexandria via LeMat-Bulk.

Geometry as POSCAR:
```
Ce2HfZn6
1.0
-1.826 -2.509 -0.622
0.508 -2.248 7.587
-5.336 2.580 5.266
Zn Hf Ce
6 1 2
direct
0.500 0.000 0.321 Zn
0.500 0.679 0.000 Zn
0.500 0.321 0.000 Zn
0.500 0.679 0.321 Zn
0.500 0.000 0.679 Zn
0.500 0.321 0.679 Zn
0.000 0.000 0.000 Hf
0.000 0.667 0.667 Ce
0.000 0.333 0.333 Ce
```

ΔH_f (0 K) = -22.66 kJ/mol of atoms

---

[2]
The following is a PBE-GGA calculation of a relaxed LiZnRh crystal, from Alexandria via LeMat-Bulk.

Geometry as POSCAR:
```
LiZnRh
1.0
-0.435 -3.569 -2.439
4.331 1.114 -2.403
3.887 -3.996 5.153
Rh Li Zn
4 4 4
direct
0.000 0.000 0.587 Rh
0.500 0.000 0.087 Rh
0.000 0.500 0.913 Rh
0.500 0.500 0.413 Rh
0.500 0.250 0.750 Li
0.000 0.750 0.250 Li
0.500 0.750 0.750 Li
0.000 0.250 0.250 Li
0.500 0.500 0.082 Zn
0.500 0.000 0.418 Zn
0.000 0.500 0.582 Zn
0.000 0.000 0.918 Zn
```

ΔH_f (0 K) = -30.98 kJ/mol of atoms
Polymorph energy (0 for the lowest one) = 0.000 eV/atom

---

[3]
The following is a PBE-GGA calculation of a relaxed NaAlPb crystal, from Alexandria via LeMat-Bulk.

Geometry as POSCAR:
```
NaAlPb
1.0
15.078 0.000 0.000
0.000 4.715 0.000
7.539 2.358 3.631
Pb Al Na
3 3 3
direct
0.131 0.302 0.395 Pb
0.473 0.302 0.395 Pb
0.716 0.216 0.568 Pb
0.357 0.032 0.936 Al
0.707 0.032 0.936 Al
0.489 0.489 0.021 Al
0.178 0.520 0.960 Na
0.863 0.520 0.960 Na
0.023 0.023 0.953 Na
```

ΔH_f (0 K) = 11.23 kJ/mol of atoms

---

[4]
The following is a PBE-GGA calculation of a relaxed CaPtW2 crystal, from Alexandria via LeMat-Bulk.

Geometry as POSCAR:
```
CaPtW2
1.0
5.527 -0.002 0.002
2.316 5.018 -0.002
-3.243 -3.569 2.700
W Pt Ca
2 1 1
direct
0.990 0.990 0.000 W
0.782 0.282 0.500 W
0.229 0.729 0.500 Pt
0.498 0.498 0.000 Ca
```

ΔH_f (0 K) = 42.57 kJ/mol of atoms
Polymorph energy (0 for the lowest one) = 0.271 eV/atom

---

[5]
The following is a PBE-GGA calculation of a relaxed SrCu2Sb crystal, from Alexandria via LeMat-Bulk.

Geometry as POSCAR:
```
SrCu2Sb
1.0
-1.195 1.633 5.447
-4.210 -1.630 -3.349
-0.845 -3.137 1.125
Sr Cu Sb
1 2 1
direct
0.500 0.500 0.000 Sr
0.000 0.000 0.000 Cu
0.500 0.000 0.500 Cu
0.000 0.500 0.500 Sb
```

VASP energy = -3.30 eV per atom

---

[6]
The following is a PBE-GGA calculation of a relaxed Np2Ge5Ir3 crystal, from Alexandria via LeMat-Bulk.

Geometry as POSCAR:
```
Np2Ge5Ir3
1.0
-0.835 -3.432 4.872
7.353 -2.379 3.301
0.658 4.551 7.034
Ir Np Ge
6 4 10
direct
0.143 0.245 0.469 Ir
0.357 0.531 0.755 Ir
0.857 0.755 0.531 Ir
0.250 0.000 0.000 Ir
0.643 0.469 0.245 Ir
0.750 0.000 0.000 Ir
0.864 0.409 0.864 Np
0.364 0.864 0.409 Np
0.136 0.591 0.136 Np
0.636 0.136 0.591 Np
0.528 0.222 0.222 Ge
0.403 0.259 0.935 Ge
0.750 0.500 0.500 Ge
0.903 0.935 0.259 Ge
0.028 0.222 0.222 Ge
0.250 0.500 0.500 Ge
0.097 0.065 0.741 Ge
0.972 0.778 0.778 Ge
0.597 0.741 0.065 Ge
0.472 0.778 0.778 Ge
```

ΔH_f (0 K) = -37.42 kJ/mol of atoms
Polymorph energy (0 for the lowest one) = 0.022 eV/atom